## TcOs2Cl (GGA-PBEsol)

Data for crystalline TcOs2Cl at its relaxed geometry.

As for the calculated volume: 115.2 Å³ per cell. For the total magnetization, the calculation gives 0.0 μB/f.u. The energy above the most stable polymorph in this dataset comes out at 0 meV/atom.

The space group is C2/m (No. 12) and the conventional cell measures 9.7554, 2.7691 and 4.2634 Å, with angles of 90.00, 90.18 and 90.00 degrees. The asymmetric unit holds Tc at (0.0000, 0.0000, 0.0000), Os at (0.2173, 0.5000, 0.2379) and Cl at (0.0000, 0.5000, 0.5000).